Record 1
## YHoCF2 (GGA-PBE)

Data for an optimized crystal structure of YHoCF2.

a b c (Å): 3.6182 3.6182 6.3252
angles (deg): 90.00 90.00 120.00
Closest atoms and distances in Å follow each position.
Element x y z (fractional)
F: 0.6667 0.3333 0.3831  3 Ho 2.35, 3 F 2.54, 1 Y 2.57
F: 0.3333 0.6667 0.6118  3 Y 2.37, 1 Ho 2.52, 3 F 2.54
Y: 0.6667 0.3333 0.7894  4 F 2.37-2.57, 3 C 2.49
C: 0.0000 0.0000 0.0023  3 Ho 2.48, 3 Y 2.49
Ho: 0.3333 0.6667 0.2134  4 F 2.35-2.52, 3 C 2.48

- E_tot (eV/atom) = -7.224

Record 2
## Nd4CIF4 (GGA-PBE)

Data for an optimized crystal structure of Nd4CIF4.

a b c (Å): 7.3557 7.3557 8.6847
angles (deg): 123.37 123.37 30.05
Closest atoms and distances in Å follow each position.
Element x y z (fractional)
F: 0.2329 0.2329 0.5996  3 Nd 2.43-2.48
F: 0.7671 0.7671 0.4004  3 Nd 2.43-2.48
F: 0.8172 0.8172 0.1034  4 Nd 2.45-2.58, 2 F 2.57
F: 0.1828 0.1828 0.8966  4 Nd 2.45-2.58, 2 F 2.57
Nd: 0.9725 0.9725 0.6649  2 F 2.48, 2 C 2.55
Nd: 0.2938 0.2938 0.2565  5 F 2.43-2.58, 1 C 2.45
Nd: 0.7062 0.7062 0.7435  5 F 2.43-2.58, 1 C 2.45
Nd: 0.0275 0.0275 0.3351  2 F 2.48, 2 C 2.55
I: 0.5000 0.5000 0.0000  4 Nd 3.31, 2 F 3.39
C: 0.5000 0.5000 0.5000  6 Nd 2.45-2.55

- E_tot (eV/atom) = -6.070

Record 3
## Nd4CI3F2 (GGA-PBE)

Data for an optimized crystal structure of Nd4CI3F2.

a b c (Å): 9.2403 9.2403 8.6322
angles (deg): 96.02 96.02 24.65
Closest atoms and distances in Å follow each position.
Element x y z (fractional)
I: 0.5000 0.5000 0.5000  4 Nd 3.27
I: 0.1802 0.1802 0.7904  4 Nd 3.22-3.39
I: 0.8198 0.8198 0.2096  4 Nd 3.22-3.39
Nd: 0.0016 0.0016 0.8026  1 F 2.44, 2 C 2.61
Nd: 0.9984 0.9984 0.1974  1 F 2.44, 2 C 2.61
Nd: 0.6380 0.6380 0.0623  2 F 2.42, 1 C 2.49
Nd: 0.3620 0.3620 0.9377  2 F 2.42, 1 C 2.49
C: 0.5000 0.5000 0.0000  6 Nd 2.49-2.61
F: 0.8659 0.8659 0.7756  3 Nd 2.42-2.44
F: 0.1341 0.1341 0.2244  3 Nd 2.42-2.44

- E_tot (eV/atom) = -5.403

Record 4
## Nd4CI2F3 (GGA-PBE)

Data for an optimized crystal structure of Nd4CI2F3.

a b c (Å): 9.1777 9.1777 7.2503
angles (deg): 98.48 98.48 23.70
Closest atoms and distances in Å follow each position.
Element x y z (fractional)
Nd: 0.9992 0.9992 0.7590  3 F 2.43-2.66, 2 C 2.57
Nd: 0.6407 0.6407 0.0726  2 F 2.42, 1 C 2.50
Nd: 0.0008 0.0008 0.2410  3 F 2.43-2.66, 2 C 2.57
Nd: 0.3593 0.3593 0.9274  2 F 2.42, 1 C 2.50
I: 0.1769 0.1769 0.7419  4 Nd 3.19-3.35, 1 F 3.32
I: 0.8231 0.8231 0.2581  4 Nd 3.19-3.35, 1 F 3.32
C: 0.5000 0.5000 0.0000  6 Nd 2.50-2.57
F: 0.8625 0.8625 0.7203  3 Nd 2.42-2.43
F: 0.5000 0.5000 0.5000  4 Nd 2.66
F: 0.1375 0.1375 0.2797  3 Nd 2.42-2.43

- E_tot (eV/atom) = -5.701

Record 5
## Nd2Sm2CI2F3 (GGA-PBE)

Data for an optimized crystal structure of Nd2Sm2CI2F3.

a b c (Å): 9.1389 9.1389 7.2139
angles (deg): 102.29 102.29 23.75
Closest atoms and distances in Å follow each position.
Element x y z (fractional)
I: 0.1718 0.1718 0.7510  3 Sm 3.15-3.32, 1 Nd 3.21, 1 F 3.35
I: 0.8282 0.8282 0.2490  3 Sm 3.15-3.32, 1 Nd 3.21, 1 F 3.35
F: 0.1465 0.1465 0.2771  2 Sm 2.36, 1 Nd 2.45
F: 0.8535 0.8535 0.7229  2 Sm 2.36, 1 Nd 2.45
F: 0.5000 0.5000 0.5000  4 Nd 2.65
Sm: 0.3596 0.3596 0.9240  2 F 2.36, 1 C 2.45
Sm: 0.6404 0.6404 0.0760  2 F 2.36, 1 C 2.45
Nd: 0.9929 0.9929 0.7548  3 F 2.45-2.65, 2 C 2.57
Nd: 0.0071 0.0071 0.2452  3 F 2.45-2.65, 2 C 2.57
C: 0.5000 0.5000 0.0000  2 Sm 2.45, 4 Nd 2.57

- E_tot (eV/atom) = -5.691

Record 6
## Nd2Sm2C2I2F3 (GGA-PBE)

Data for an optimized crystal structure of Nd2Sm2C2I2F3.

a b c (Å): 9.8204 9.8204 6.9996
angles (deg): 102.08 102.08 22.28
Closest atoms and distances in Å follow each position.
Element x y z (fractional)
I: 0.8320 0.8320 0.7326  1 F 3.16, 3 Sm 3.17-3.35, 1 Nd 3.30
I: 0.1680 0.1680 0.2674  1 F 3.16, 3 Sm 3.17-3.35, 1 Nd 3.30
Sm: 0.6541 0.6541 0.6193  1 C 2.21, 2 F 2.33
Sm: 0.3459 0.3459 0.3807  1 C 2.21, 2 F 2.33
C: 0.5374 0.5374 0.5231  1 C 1.41
C: 0.4626 0.4626 0.4769  1 C 1.41
Nd: 0.9962 0.9962 0.2618  4 C 2.59-2.64, 3 F 2.65-2.73
Nd: 0.0038 0.0038 0.7382  4 C 2.59-2.64, 3 F 2.65-2.73
F: 0.1487 0.1487 0.8076  2 Sm 2.33
F: 0.8513 0.8513 0.1924  2 Sm 2.33
F: 0.5000 0.5000 0.0000  4 Nd 2.65

- E_tot (eV/atom) = -6.065

Record 7
## Nd2Y2CI3F2 (GGA-PBE)

Data for an optimized crystal structure of Nd2Y2CI3F2.

a b c (Å): 9.0587 9.0587 8.7147
angles (deg): 97.50 97.50 24.66
Closest atoms and distances in Å follow each position.
Element x y z (fractional)
F: 0.8590 0.8590 0.7910  2 Y 2.33, 1 Nd 2.47
F: 0.1410 0.1410 0.2090  2 Y 2.33, 1 Nd 2.47
I: 0.5000 0.5000 0.5000  4 Nd 3.27
I: 0.8188 0.8188 0.1957  3 Y 3.13-3.29, 1 Nd 3.22
I: 0.1812 0.1812 0.8043  3 Y 3.13-3.29, 1 Nd 3.22
Y: 0.3638 0.3638 0.9407  2 F 2.33, 1 C 2.40
Y: 0.6362 0.6362 0.0593  2 F 2.33, 1 C 2.40
Nd: 0.0009 0.0009 0.1976  1 F 2.47, 2 C 2.59
Nd: 0.9991 0.9991 0.8024  1 F 2.47, 2 C 2.59
C: 0.5000 0.5000 0.0000  2 Y 2.40, 4 Nd 2.59

- E_tot (eV/atom) = -5.740

Record 8
## Pr4CI3F2 (GGA-PBE)

Data for an optimized crystal structure of Pr4CI3F2.

a b c (Å): 9.3099 9.3099 8.7161
angles (deg): 96.59 96.59 24.66
Closest atoms and distances in Å follow each position.
Element x y z (fractional)
Pr: 0.6388 0.6388 0.0631  2 F 2.44, 1 C 2.52
Pr: 0.9989 0.9989 0.1982  1 F 2.47, 2 C 2.64
Pr: 0.0011 0.0011 0.8018  1 F 2.47, 2 C 2.64
Pr: 0.3612 0.3612 0.9369  2 F 2.44, 1 C 2.52
I: 0.8207 0.8207 0.2083  4 Pr 3.24-3.40
I: 0.1793 0.1793 0.7917  4 Pr 3.24-3.40
I: 0.5000 0.5000 0.5000  4 Pr 3.30
F: 0.1355 0.1355 0.2235  3 Pr 2.44-2.47
F: 0.8645 0.8645 0.7765  3 Pr 2.44-2.47
C: 0.5000 0.5000 0.0000  6 Pr 2.52-2.64

- E_tot (eV/atom) = -5.400

Record 9
## Pr2Sm2CI3F2 (GGA-PBE)

Data for an optimized crystal structure of Pr2Sm2CI3F2.

a b c (Å): 9.1581 9.1581 8.7599
angles (deg): 96.13 96.13 24.73
Closest atoms and distances in Å follow each position.
Element x y z (fractional)
F: 0.8618 0.8618 0.7882  2 Sm 2.38, 1 Pr 2.48
F: 0.1382 0.1382 0.2118  2 Sm 2.38, 1 Pr 2.48
I: 0.8180 0.8180 0.2033  3 Sm 3.19-3.34, 1 Pr 3.24
I: 0.5000 0.5000 0.5000  4 Pr 3.29
I: 0.1820 0.1820 0.7967  3 Sm 3.19-3.34, 1 Pr 3.24
C: 0.5000 0.5000 0.0000  2 Sm 2.46, 4 Pr 2.62
Sm: 0.3625 0.3625 0.9413  2 F 2.38, 1 C 2.46
Sm: 0.6375 0.6375 0.0587  2 F 2.38, 1 C 2.46
Pr: 0.9990 0.9990 0.1980  1 F 2.48, 2 C 2.62
Pr: 0.0010 0.0010 0.8020  1 F 2.48, 2 C 2.62

- E_tot (eV/atom) = -5.394

Record 10
## Pr2Sm2CIF4 (GGA-PBE)

Data for an optimized crystal structure of Pr2Sm2CIF4.

a b c (Å): 7.5242 7.5242 8.7961
angles (deg): 124.12 124.12 28.97
Closest atoms and distances in Å follow each position.
Element x y z (fractional)
Sm: 0.6991 0.6991 0.2463  5 F 2.39-2.55, 1 C 2.41
Sm: 0.3009 0.3009 0.7537  5 F 2.39-2.55, 1 C 2.41
F: 0.7671 0.7671 0.8826  2 Sm 2.39, 1 Pr 2.52
F: 0.2329 0.2329 0.1174  2 Sm 2.39, 1 Pr 2.52
F: 0.8196 0.8196 0.6017  3 Sm 2.41-2.55, 1 Pr 2.53, 2 F 2.58
F: 0.1804 0.1804 0.3983  3 Sm 2.41-2.55, 1 Pr 2.53, 2 F 2.58
C: 0.5000 0.5000 0.0000  2 Sm 2.41, 4 Pr 2.55
I: 0.5000 0.5000 0.5000  4 Pr 3.32, 2 F 3.36
Pr: 0.9692 0.9692 0.1622  2 F 2.52-2.53, 2 C 2.55
Pr: 0.0308 0.0308 0.8378  2 F 2.52-2.53, 2 C 2.55

- E_tot (eV/atom) = -6.067

Record 11
## Sm4CIF4 (GGA-PBE)

Data for an optimized crystal structure of Sm4CIF4.

a b c (Å): 7.5950 7.5950 8.5318
angles (deg): 122.33 122.33 28.61
Closest atoms and distances in Å follow each position.
Element x y z (fractional)
C: 0.5000 0.5000 0.0000  6 Sm 2.39-2.50
Sm: 0.3063 0.3063 0.8462  5 F 2.37-2.52, 1 C 2.39
Sm: 0.0177 0.0177 0.2096  2 F 2.44-2.48, 2 C 2.50
Sm: 0.9823 0.9823 0.7904  2 F 2.44-2.48, 2 C 2.50
Sm: 0.6937 0.6937 0.1538  5 F 2.37-2.52, 1 C 2.39
I: 0.5000 0.5000 0.5000  4 Sm 3.23
F: 0.7845 0.7845 0.6582  3 Sm 2.37-2.48
F: 0.8195 0.8195 0.0401  4 Sm 2.44-2.52, 2 F 2.58
F: 0.2155 0.2155 0.3418  3 Sm 2.37-2.48
F: 0.1805 0.1805 0.9599  4 Sm 2.44-2.52, 2 F 2.58

- E_tot (eV/atom) = -6.063

Record 12
## Sm2Y2CI3F2 (GGA-PBE)

Data for an optimized crystal structure of Sm2Y2CI3F2.

a b c (Å): 8.9121 8.9121 8.4929
angles (deg): 94.06 94.06 24.97
Closest atoms and distances in Å follow each position.
Element x y z (fractional)
I: 0.5000 0.5000 0.5000  4 Sm 3.22
I: 0.8141 0.8141 0.2096  3 Y 3.13-3.27, 1 Sm 3.19
I: 0.1859 0.1859 0.7904  3 Y 3.13-3.27, 1 Sm 3.19
Sm: 0.9970 0.9970 0.1965  1 F 2.41, 2 C 2.55
Sm: 0.0030 0.0030 0.8035  1 F 2.41, 2 C 2.55
C: 0.5000 0.5000 0.0000  2 Y 2.39, 4 Sm 2.55
Y: 0.6366 0.6366 0.0549  2 F 2.34, 1 C 2.39
Y: 0.3634 0.3634 0.9451  2 F 2.34, 1 C 2.39
F: 0.8639 0.8639 0.7894  2 Y 2.34, 1 Sm 2.41
F: 0.1361 0.1361 0.2106  2 Y 2.34, 1 Sm 2.41

- E_tot (eV/atom) = -5.734